# 1
Crystalline TaTcAg at its relaxed geometry. Source: Alexandria via LeMat-Bulk, functional GGA-PBEsol.

- DFT formation energy (eV per formula unit) = 1.1
- volume (Å³/cell) = 48
- SG = I4mm (107)

```
data_TaTcAg
_chemical_formula_sum 'Ta1 Tc1 Ag1'
_symmetry_space_group_name_H-M 'P 1'
_symmetry_Int_Tables_number 1
_cell_length_a 2.6948
_cell_length_b 2.6948
_cell_length_c 6.8538
_cell_angle_alpha 101.34
_cell_angle_beta 101.34
_cell_angle_gamma 90.00
loop_
_symmetry_equiv_pos_as_xyz
'x,y,z'
loop_
_atom_site_label
_atom_site_type_symbol
_atom_site_fract_x
_atom_site_fract_y
_atom_site_fract_z
_atom_site_occupancy
Ag1 Ag 0.9974 0.9974 0.9948 1
Ta1 Ta 0.6686 0.6686 0.3372 1
Tc1 Tc 0.3340 0.3340 0.6680 1
```

# 2
Crystalline TaTcAg at its relaxed geometry. Source: Alexandria via LeMat-Bulk, functional GGA-PBEsol.

- DFT formation energy (eV per formula unit) = 1.0
- volume (Å³/cell) = 48
- SG = P3m1 (156)

```
data_TaTcAg
_chemical_formula_sum 'Ta1 Tc1 Ag1'
_symmetry_space_group_name_H-M 'P 1'
_symmetry_Int_Tables_number 1
_cell_length_a 2.7694
_cell_length_b 2.7694
_cell_length_c 7.2433
_cell_angle_alpha 90.00
_cell_angle_beta 90.00
_cell_angle_gamma 120.00
loop_
_symmetry_equiv_pos_as_xyz
'x,y,z'
loop_
_atom_site_label
_atom_site_type_symbol
_atom_site_fract_x
_atom_site_fract_y
_atom_site_fract_z
_atom_site_occupancy
Ag1 Ag 0.0000 0.0000 0.0049 1
Ta1 Ta 0.6667 0.3333 0.6613 1
Tc1 Tc 0.3333 0.6667 0.3338 1
```

# 3
Crystalline TaAg2Te at its relaxed geometry. Source: Alexandria via LeMat-Bulk, functional GGA-PBEsol.

- volume (Å³/cell) = 76
- electronic total energy (Ha/atom) = -0.19405
- SG = Cmmm (65)

```
data_TaAg2Te
_chemical_formula_sum 'Ta1 Ag2 Te1'
_symmetry_space_group_name_H-M 'P 1'
_symmetry_Int_Tables_number 1
_cell_length_a 2.9334
_cell_length_b 5.4430
_cell_length_c 5.4430
_cell_angle_alpha 119.18
_cell_angle_beta 90.00
_cell_angle_gamma 90.00
loop_
_symmetry_equiv_pos_as_xyz
'x,y,z'
loop_
_atom_site_label
_atom_site_type_symbol
_atom_site_fract_x
_atom_site_fract_y
_atom_site_fract_z
_atom_site_occupancy
Te1 Te 0.5000 0.5000 0.5000 1
Ag1 Ag 0.0000 0.5000 0.0000 1
Ag2 Ag 0.0000 0.0000 0.5000 1
Ta1 Ta 0.5000 0.0000 0.0000 1
```

# 4
Crystalline TaAgTe at its relaxed geometry. Source: Alexandria via LeMat-Bulk, functional GGA-PBEsol.

- volume (Å³/cell) = 64
- electronic total energy (Ha/atom) = -0.22308
- SG = Fmm2 (42)

```
data_TaAgTe
_chemical_formula_sum 'Ta1 Ag1 Te1'
_symmetry_space_group_name_H-M 'P 1'
_symmetry_Int_Tables_number 1
_cell_length_a 3.0386
_cell_length_b 3.0386
_cell_length_c 7.4358
_cell_angle_alpha 98.21
_cell_angle_beta 98.21
_cell_angle_gamma 107.54
loop_
_symmetry_equiv_pos_as_xyz
'x,y,z'
loop_
_atom_site_label
_atom_site_type_symbol
_atom_site_fract_x
_atom_site_fract_y
_atom_site_fract_z
_atom_site_occupancy
Te1 Te 0.6859 0.6859 0.3717 1
Ag1 Ag 0.9802 0.9802 0.9604 1
Ta1 Ta 0.3339 0.3339 0.6678 1
```

# 5
Crystalline Ta2AgTe at its relaxed geometry. Source: Alexandria via LeMat-Bulk, functional GGA-PBEsol.

- volume (Å³/cell) = 82
- electronic total energy (Ha/atom) = -0.28442
- SG = R3m (160)

```
data_Ta2AgTe
_chemical_formula_sum 'Ta2 Ag1 Te1'
_symmetry_space_group_name_H-M 'P 1'
_symmetry_Int_Tables_number 1
_cell_length_a 3.2542
_cell_length_b 3.2542
_cell_length_c 9.1460
_cell_angle_alpha 79.75
_cell_angle_beta 79.75
_cell_angle_gamma 60.00
loop_
_symmetry_equiv_pos_as_xyz
'x,y,z'
loop_
_atom_site_label
_atom_site_type_symbol
_atom_site_fract_x
_atom_site_fract_y
_atom_site_fract_z
_atom_site_occupancy
Te1 Te 0.4907 0.4907 0.5279 1
Ag1 Ag 0.2581 0.2581 0.2256 1
Ta1 Ta 0.0049 0.0049 0.9853 1
Ta2 Ta 0.7463 0.7463 0.7612 1
```

# 6
Crystalline TaAg2Te at its relaxed geometry. Source: Alexandria via LeMat-Bulk, functional GGA-PBEsol.

- volume (Å³/cell) = 75
- electronic total energy (Ha/atom) = -0.20285
- SG = P4mm (99)

```
data_TaAg2Te
_chemical_formula_sum 'Ta1 Ag2 Te1'
_symmetry_space_group_name_H-M 'P 1'
_symmetry_Int_Tables_number 1
_cell_length_a 3.4479
_cell_length_b 3.4479
_cell_length_c 6.2905
_cell_angle_alpha 90.00
_cell_angle_beta 90.00
_cell_angle_gamma 90.00
loop_
_symmetry_equiv_pos_as_xyz
'x,y,z'
loop_
_atom_site_label
_atom_site_type_symbol
_atom_site_fract_x
_atom_site_fract_y
_atom_site_fract_z
_atom_site_occupancy
Te1 Te 0.5000 0.5000 0.7273 1
Ag1 Ag 0.0000 0.0000 0.0295 1
Ag2 Ag 0.5000 0.5000 0.2387 1
Ta1 Ta 0.0000 0.0000 0.5045 1
```

# 7
Crystalline TaAg2Te at its relaxed geometry. Source: Alexandria via LeMat-Bulk, functional GGA-PBEsol.

- volume (Å³/cell) = 76
- electronic total energy (Ha/atom) = -0.19247
- SG = Pmmm (47)

```
data_TaAg2Te
_chemical_formula_sum 'Ta1 Ag2 Te1'
_symmetry_space_group_name_H-M 'P 1'
_symmetry_Int_Tables_number 1
_cell_length_a 2.9729
_cell_length_b 4.4761
_cell_length_c 5.7363
_cell_angle_alpha 90.00
_cell_angle_beta 90.00
_cell_angle_gamma 90.00
loop_
_symmetry_equiv_pos_as_xyz
'x,y,z'
loop_
_atom_site_label
_atom_site_type_symbol
_atom_site_fract_x
_atom_site_fract_y
_atom_site_fract_z
_atom_site_occupancy
Te1 Te 0.5000 0.5000 0.5000 1
Ag1 Ag 0.0000 0.0000 0.7696 1
Ag2 Ag 0.0000 0.0000 0.2304 1
Ta1 Ta 0.5000 0.5000 0.0000 1
```

# 8
Crystalline TaAg2Te at its relaxed geometry. Source: Alexandria via LeMat-Bulk, functional GGA-PBEsol.

- volume (Å³/cell) = 75
- electronic total energy (Ha/atom) = -0.19500
- SG = Pmmm (47)

```
data_TaAg2Te
_chemical_formula_sum 'Ta1 Ag2 Te1'
_symmetry_space_group_name_H-M 'P 1'
_symmetry_Int_Tables_number 1
_cell_length_a 3.3003
_cell_length_b 4.5473
_cell_length_c 4.9729
_cell_angle_alpha 90.00
_cell_angle_beta 90.00
_cell_angle_gamma 90.00
loop_
_symmetry_equiv_pos_as_xyz
'x,y,z'
loop_
_atom_site_label
_atom_site_type_symbol
_atom_site_fract_x
_atom_site_fract_y
_atom_site_fract_z
_atom_site_occupancy
Te1 Te 0.0000 0.5000 0.5000 1
Ag1 Ag 0.0000 0.0000 0.0000 1
Ag2 Ag 0.5000 0.5000 0.0000 1
Ta1 Ta 0.5000 0.0000 0.5000 1
```

# 9
Crystalline Ta3AgTe at its relaxed geometry. Source: Alexandria via LeMat-Bulk, functional GGA-PBEsol.

- volume (Å³/cell) = 121
- electronic total energy (Ha/atom) = -0.25500
- SG = Pm-3m (221)

```
data_Ta3AgTe
_chemical_formula_sum 'Ta3 Ag1 Te1'
_symmetry_space_group_name_H-M 'P 1'
_symmetry_Int_Tables_number 1
_cell_length_a 4.9404
_cell_length_b 4.9404
_cell_length_c 4.9404
_cell_angle_alpha 90.00
_cell_angle_beta 90.00
_cell_angle_gamma 90.00
loop_
_symmetry_equiv_pos_as_xyz
'x,y,z'
loop_
_atom_site_label
_atom_site_type_symbol
_atom_site_fract_x
_atom_site_fract_y
_atom_site_fract_z
_atom_site_occupancy
Te1 Te 0.0000 0.0000 0.0000 1
Ag1 Ag 0.5000 0.5000 0.5000 1
Ta1 Ta 0.0000 0.5000 0.0000 1
Ta2 Ta 0.0000 0.0000 0.5000 1
Ta3 Ta 0.5000 0.0000 0.0000 1
```

# 10
Crystalline TaAg2Te at its relaxed geometry. Source: Alexandria via LeMat-Bulk, functional GGA-PBEsol.

- volume (Å³/cell) = 75
- electronic total energy (Ha/atom) = -0.19564
- SG = Immm (71)

```
data_TaAg2Te
_chemical_formula_sum 'Ta1 Ag2 Te1'
_symmetry_space_group_name_H-M 'P 1'
_symmetry_Int_Tables_number 1
_cell_length_a 3.2198
_cell_length_b 4.6061
_cell_length_c 5.7777
_cell_angle_alpha 113.49
_cell_angle_beta 106.18
_cell_angle_gamma 90.00
loop_
_symmetry_equiv_pos_as_xyz
'x,y,z'
loop_
_atom_site_label
_atom_site_type_symbol
_atom_site_fract_x
_atom_site_fract_y
_atom_site_fract_z
_atom_site_occupancy
Te1 Te 0.0000 0.5000 0.0000 1
Ag1 Ag 0.7511 0.7511 0.5022 1
Ag2 Ag 0.2489 0.2489 0.4978 1
Ta1 Ta 0.5000 0.0000 0.0000 1
```

# 11
Crystalline Ta2AgTe at its relaxed geometry. Source: Alexandria via LeMat-Bulk, functional GGA-PBEsol.

- volume (Å³/cell) = 75
- electronic total energy (Ha/atom) = -0.27715
- SG = R-3m (166)

```
data_Ta2AgTe
_chemical_formula_sum 'Ta2 Ag1 Te1'
_symmetry_space_group_name_H-M 'P 1'
_symmetry_Int_Tables_number 1
_cell_length_a 3.0550
_cell_length_b 3.0550
_cell_length_c 9.4018
_cell_angle_alpha 80.65
_cell_angle_beta 80.65
_cell_angle_gamma 60.00
loop_
_symmetry_equiv_pos_as_xyz
'x,y,z'
loop_
_atom_site_label
_atom_site_type_symbol
_atom_site_fract_x
_atom_site_fract_y
_atom_site_fract_z
_atom_site_occupancy
Te1 Te 0.5000 0.5000 0.5000 1
Ag1 Ag 0.0000 0.0000 0.0000 1
Ta1 Ta 0.2495 0.2495 0.2515 1
Ta2 Ta 0.7505 0.7505 0.7485 1
```

# 12
Crystalline TaAg2Te at its relaxed geometry. Source: Alexandria via LeMat-Bulk, functional GGA-PBEsol.

- volume (Å³/cell) = 74
- electronic total energy (Ha/atom) = -0.19272
- SG = P4/mmm (123)

```
data_TaAg2Te
_chemical_formula_sum 'Ta1 Ag2 Te1'
_symmetry_space_group_name_H-M 'P 1'
_symmetry_Int_Tables_number 1
_cell_length_a 4.0205
_cell_length_b 4.0205
_cell_length_c 4.6019
_cell_angle_alpha 90.00
_cell_angle_beta 90.00
_cell_angle_gamma 90.00
loop_
_symmetry_equiv_pos_as_xyz
'x,y,z'
loop_
_atom_site_label
_atom_site_type_symbol
_atom_site_fract_x
_atom_site_fract_y
_atom_site_fract_z
_atom_site_occupancy
Te1 Te 0.0000 0.0000 0.5000 1
Ag1 Ag 0.0000 0.5000 0.0000 1
Ag2 Ag 0.5000 0.0000 0.0000 1
Ta1 Ta 0.5000 0.5000 0.5000 1
```

# 13
Crystalline TaTiAg2Te at its relaxed geometry. Source: Alexandria via LeMat-Bulk, functional GGA-PBEsol.

- volume (Å³/cell) = 113
- electronic total energy (Ha/atom) = -0.17837
- SG = P4/mmm (123)

```
data_TaTiAg2Te
_chemical_formula_sum 'Ta1 Ti1 Ag2 Te1'
_symmetry_space_group_name_H-M 'P 1'
_symmetry_Int_Tables_number 1
_cell_length_a 4.7939
_cell_length_b 4.7939
_cell_length_c 4.9318
_cell_angle_alpha 90.00
_cell_angle_beta 90.00
_cell_angle_gamma 90.00
loop_
_symmetry_equiv_pos_as_xyz
'x,y,z'
loop_
_atom_site_label
_atom_site_type_symbol
_atom_site_fract_x
_atom_site_fract_y
_atom_site_fract_z
_atom_site_occupancy
Te1 Te 0.0000 0.0000 0.5000 1
Ti1 Ti 0.0000 0.0000 0.0000 1
Ag1 Ag 0.0000 0.5000 0.0000 1
Ag2 Ag 0.5000 0.0000 0.0000 1
Ta1 Ta 0.5000 0.5000 0.5000 1
```

# 14
Crystalline TaTi2AgW at its relaxed geometry. Source: Alexandria via LeMat-Bulk, functional GGA-PBEsol.

- DFT formation energy (eV per formula unit) = 9.1
- volume (Å³/cell) = 102
- SG = P4/mmm (123)

```
data_TaTi2AgW
_chemical_formula_sum 'Ta1 Ti2 Ag1 W1'
_symmetry_space_group_name_H-M 'P 1'
_symmetry_Int_Tables_number 1
_cell_length_a 4.5328
_cell_length_b 4.5328
_cell_length_c 4.9433
_cell_angle_alpha 90.00
_cell_angle_beta 90.00
_cell_angle_gamma 90.00
loop_
_symmetry_equiv_pos_as_xyz
'x,y,z'
loop_
_atom_site_label
_atom_site_type_symbol
_atom_site_fract_x
_atom_site_fract_y
_atom_site_fract_z
_atom_site_occupancy
Ti1 Ti 0.0000 0.5000 0.0000 1
Ti2 Ti 0.5000 0.0000 0.0000 1
Ag1 Ag 0.0000 0.0000 0.0000 1
W1 W 0.5000 0.5000 0.5000 1
Ta1 Ta 0.0000 0.0000 0.5000 1
```

# 15
Crystalline TaTl2Ag at its relaxed geometry. Source: Alexandria via LeMat-Bulk, functional GGA-PBEsol.

- DFT formation energy (eV per formula unit) = 2.3
- volume (Å³/cell) = 83
- SG = Pmmm (47)

```
data_TaTl2Ag
_chemical_formula_sum 'Ta1 Tl2 Ag1'
_symmetry_space_group_name_H-M 'P 1'
_symmetry_Int_Tables_number 1
_cell_length_a 3.0840
_cell_length_b 4.9919
_cell_length_c 5.3940
_cell_angle_alpha 90.00
_cell_angle_beta 90.00
_cell_angle_gamma 90.00
loop_
_symmetry_equiv_pos_as_xyz
'x,y,z'
loop_
_atom_site_label
_atom_site_type_symbol
_atom_site_fract_x
_atom_site_fract_y
_atom_site_fract_z
_atom_site_occupancy
Tl1 Tl 0.0000 0.0000 0.0000 1
Tl2 Tl 0.5000 0.0000 0.5000 1
Ag1 Ag 0.5000 0.5000 0.0000 1
Ta1 Ta 0.0000 0.5000 0.5000 1
```